# 1
Here is a geometry-optimized TlCrPb2 structure from the Alexandria database. Energies are from PBE-GGA.

As for the total magnetization: 12.94 μB per cell. The calculation puts the total DFT energy (no corrections) at -53.3 eV per cell. Its energy of formation is 406.6 meV/atom.

It has space group R3m (No. 160, hexagonal axes), with a = 3.4140 Å, b = 3.4140 Å, c = 32.1693 Å, α = 90.00°, β = 90.00° and γ = 120.00°. The inequivalent atoms are Tl at (0.0000, 0.0000, 0.0000), Cr at (0.0000, 0.0000, 0.2625), Pb at (0.0000, 0.0000, 0.5222) and Pb at (0.0000, 0.0000, 0.7569).

# 2
Here is a geometry-optimized BaGe2Os structure from the Alexandria database. Energies are from PBE-GGA.

As for the total magnetization: 0.00 μB per cell. The calculation puts the total DFT energy (no corrections) at -69.6 eV per cell. Its energy of formation is -205.9 meV/atom.

It has space group R-3m (No. 166, hexagonal axes), with a = 4.2622 Å, b = 4.2622 Å, c = 17.9878 Å, α = 90.00°, β = 90.00° and γ = 120.00°. The inequivalent atoms are Ba at (0.0000, 0.0000, 0.0000), Ge at (0.0000, 0.0000, 0.2077) and Os at (0.0000, 0.0000, 0.5000).

# 3
Here is a geometry-optimized Ca2CuSb4Pt3 structure from the Alexandria database. Energies are from PBE-GGA.

The calculation puts the energy relative to the elements, uncorrected at -0.642 eV per atom. As for the total magnetization: 0.00 μB per cell. The calculation puts the total DFT energy (no corrections) at -49.1 eV per cell.

It has space group P-4m2 (No. 115), with a = 4.559 Å, b = 4.559 Å, c = 11.063 Å, α = 90.00°, β = 90.00° and γ = 90.00°. The inequivalent atoms are Ca at (0.000, 0.500, 0.230), Cu at (0.500, 0.500, 0.000), Sb at (0.000, 0.000, 0.500), Sb at (0.000, 0.500, 0.870), Sb at (0.500, 0.500, 0.500), Pt at (0.000, 0.000, 0.000) and Pt at (0.000, 0.500, 0.634).

# 4
Here is a geometry-optimized SrReSb2I structure from the Alexandria database. Energies are from PBE-GGA.

The calculation puts the energy relative to the elements, uncorrected at 0.085 eV per atom. As for the total magnetization: 0.00 μB per cell. The calculation puts the total DFT energy (no corrections) at -23.5 eV per cell.

It has space group P4/mmm (No. 123), with a = 5.150 Å, b = 5.150 Å, c = 6.030 Å, α = 90.00°, β = 90.00° and γ = 90.00°. The inequivalent atoms are Sr at (0.000, 0.000, 0.000), Re at (0.500, 0.500, 0.500), Sb at (0.000, 0.500, 0.500) and I at (0.500, 0.500, 0.000).

# 5
Here is a geometry-optimized Tb4Pr2Nd3 structure from the Alexandria database. Energies are from PBE-GGA.

As for the total magnetization: 0.00 μB per cell. The calculation puts the total DFT energy (no corrections) at -42.2 eV per cell. Its energy of formation is 15.5 meV/atom.

It has space group P-1 (No. 2), with a = 6.286 Å, b = 6.309 Å, c = 8.126 Å, α = 82.57°, β = 75.09° and γ = 80.37°. The inequivalent atoms are Tb at (0.109, 0.225, 0.055), Tb at (0.222, 0.446, 0.612), Pr at (0.332, 0.668, 0.167), Nd at (0.000, 0.000, 0.500) and Nd at (0.443, 0.889, 0.722).

# 6
Here is a geometry-optimized RbInAgC2 structure from the Alexandria database. Energies are from PBE-GGA.

As for the total magnetization: 1.91 μB per cell. The calculation puts the total DFT energy (no corrections) at -13.6 eV per cell. Its energy of formation is 2274.6 meV/atom.

It has space group P4/mmm (No. 123), with a = 4.461 Å, b = 4.461 Å, c = 7.045 Å, α = 90.00°, β = 90.00° and γ = 90.00°. The inequivalent atoms are Rb at (0.000, 0.000, 0.000), In at (0.000, 0.000, 0.500), Ag at (0.500, 0.500, 0.000) and C at (0.000, 0.500, 0.500).

Which formula does entry 3 have?
Ca2CuSb4Pt3

Which value of total DFT energy (no corrections) does entry 1 give?
-53.3 eV per cell

What is the formula in the fifth record?
Tb4Pr2Nd3

Number 4 is which compound?
SrReSb2I